P.
LuNb2Mo | PBE | optimized geometry

Output
D(E_F), states/eV per cell: 5.2
Space group: P4/mmm
Mass density, g cm⁻³: 9.6

a b c (Å): 3.2836 3.2836 7.2914
angles (deg): 90.00 90.00 90.00
Element x y z (fractional)
Mo 0.5000 0.5000 0.0000
Lu 0.5000 0.5000 0.5000
Nb 0.0000 0.0000 0.7918
Nb 0.0000 0.0000 0.2082

Q.
LuNb2Mo | PBE | optimized geometry

Output
D(E_F), states/eV per cell: 3.7
Space group: R-3m
Mass density, g cm⁻³: 9.1

a b c (Å): 3.1165 3.1165 10.0600
angles (deg): 81.09 81.09 60.00
Element x y z (fractional)
Mo 0.5000 0.5000 0.5000
Lu 0.0000 0.0000 0.0000
Nb 0.0995 0.0995 0.7014
Nb 0.9005 0.9005 0.2986

The structure with the greatest stability is P.